Entry 1:
4
Lattice="-1.760 4.385 -1.164 -1.646 0.267 3.496 4.706 3.552 6.264" Properties=species:S:1:pos:R:3 comment="PBE-GGA K2MnHg, relaxed" formation_enthalpy_0k_kj_per_mol_fu=188 spacegroup="P2/m (10)" pbc="T T T"
Hg 1.415 5.057 6.738
K 4.690 3.545 6.259
K 1.546 1.918 4.885
Mn -0.115 3.147 1.858

Entry 2:
15
Lattice="6.966 0.000 0.000 -3.483 6.038 -0.015 0.000 -4.004 6.858" Properties=species:S:1:pos:R:3 comment="PBE-GGA Cs3Tl3RhO8, relaxed" spacegroup="R-3m (166)" raw_formation_energy_ev_per_atom=-0.900 pbc="T T T"
Cs 0.000 0.000 0.000
Cs -1.741 3.019 -0.007
Cs 1.741 3.019 -0.007
Tl 3.483 -2.002 3.429
Tl 1.741 1.017 3.422
Tl -1.741 1.017 3.422
Rh 0.000 -2.002 3.429
O 0.000 2.014 2.262
O 3.483 0.019 4.581
O 3.483 2.290 2.345
O 0.000 -0.257 4.499
O 5.454 -1.133 2.353
O -1.971 3.167 4.491
O 1.512 -1.133 2.353
O 1.971 3.167 4.491

Entry 3:
5
Lattice="-0.653 2.519 3.347 1.387 -3.066 2.578 4.080 1.540 -0.363" Properties=species:S:1:pos:R:3 comment="PBE-GGA ScTi2TlH, relaxed" spacegroup="P4/mmm (123)" pbc="T T T"
Sc 2.040 0.770 -0.182
H 0.000 0.000 0.000
Tl 2.407 0.496 2.781
Ti 0.694 -1.533 1.289
Ti -0.326 1.259 1.674

Entry 4:
20
Lattice="-7.144 -5.536 1.432 6.210 -1.631 6.520 -2.874 8.640 0.912" Properties=species:S:1:pos:R:3 comment="PBE-GGA Ca7PCl12, relaxed" spacegroup="R-3 (148)" raw_formation_energy_ev_per_atom=-2.188 pbc="T T T"
Ca -5.484 1.084 6.439
Ca -1.791 -1.968 1.327
Ca -1.767 2.308 0.627
Ca -1.904 0.736 4.432
Ca -2.041 -0.836 8.237
Ca -2.017 3.440 7.537
Ca 1.676 0.388 2.425
P 0.000 0.000 0.000
Cl -6.903 1.239 4.085
Cl -3.844 -3.449 2.411
Cl -3.173 0.387 2.015
Cl -3.606 -0.857 5.896
Cl -2.961 4.651 1.445
Cl -3.524 2.773 5.329
Cl -0.284 -1.301 3.536
Cl -0.847 -3.178 7.420
Cl -0.202 2.329 2.968
Cl -0.635 1.085 6.850
Cl 0.036 4.922 6.454
Cl 3.095 0.233 4.780

Going through the records in order, we get E_tot values of -2.4282 -4.6783 -5.7626 -4.2674 eV per atom.